# 1
Compound: LaPr3Pa2N6
Source: the Alexandria database
Functional: PBE
Structure: optimized geometry

Calculated volume   16.93 Å³ per atom
Total magnetic moment   0.00 Bohr magnetons per cell
Formation energy without anion corrections   -1494 meV/atom
DOS at the Fermi energy   4.1 states/eV/f.u.

abc: 8.1193 8.1193 7.2797
angles: 102.99 102.99 25.79
Sites, in units of the cell vectors:
La1 0.0000 0.0000 0.0000
Pr1 0.0000 0.0000 0.5000
Pr2 0.3325 0.3325 0.1627
Pr3 0.6675 0.6675 0.8373
Pa1 0.3328 0.3328 0.6680
Pa2 0.6672 0.6672 0.3320
N1 0.1674 0.1674 0.1179
N2 0.1747 0.1747 0.5578
N3 0.4807 0.4807 0.7374
N4 0.5193 0.5193 0.2626
N5 0.8253 0.8253 0.4422
N6 0.8326 0.8326 0.8821



# 2
Compound: BeIrBr
Source: the Alexandria database
Functional: PBE
Structure: optimized geometry

Calculated volume   15.39 Å³ per atom
Total magnetic moment   0.00 Bohr magnetons per cell
Formation energy without anion corrections   1062 meV/atom
DOS at the Fermi energy   1.7 states/eV/f.u.
Offset from the most stable computed form   131.40 kJ/mol of atoms

abc: 4.4805 4.4805 5.3114
angles: 90.00 90.00 120.00
Sites, in units of the cell vectors:
Be1 0.0000 0.0000 0.0000
Be2 0.0000 0.0000 0.5000
Ir1 0.3333 0.6667 0.2500
Ir2 0.6667 0.3333 0.7500
Br1 0.3333 0.6667 0.7500
Br2 0.6667 0.3333 0.2500



# 3
Compound: CdCo2Tc
Source: the Alexandria database
Functional: PBE
Structure: optimized geometry

Calculated volume   13.80 Å³ per atom
ΔE_f   483 meV per atom
Total magnetic moment   1.01 Bohr magnetons per cell
DOS at the Fermi energy   5.2 states/eV/f.u.

abc: 4.8177 4.8177 4.8177
angles: 134.93 134.93 65.64
Sites, in units of the cell vectors:
Cd1 0.0000 0.0000 0.0000
Co1 0.2500 0.7500 0.5000
Co2 0.5000 0.5000 0.0000
Tc1 0.7500 0.2500 0.5000



# 4
Compound: Mg8Ni
Source: the Alexandria database
Functional: PBE
Structure: optimized geometry

Calculated volume   20.50 Å³ per atom
ΔE_f   0 meV per atom
Total magnetic moment   0.00 Bohr magnetons per cell
DOS at the Fermi energy   2.4 states/eV/f.u.

abc: 7.4187 7.4187 7.4187
angles: 93.29 93.29 152.26
Sites, in units of the cell vectors:
Mg1 0.0000 0.3313 0.3313
Mg2 0.0000 0.6687 0.6687
Mg3 0.3313 0.0000 0.3313
Mg4 0.3510 0.3510 0.7021
Mg5 0.3510 0.6490 0.0000
Mg6 0.6490 0.3510 0.0000
Mg7 0.6490 0.6490 0.2979
Mg8 0.6687 0.0000 0.6687
Ni1 0.0000 0.0000 0.0000



# 5
Compound: Au3SeS
Source: the Alexandria database
Functional: PBE
Structure: optimized geometry

Calculated volume   22.23 Å³ per atom
Total magnetic moment   0.00 Bohr magnetons per cell
Formation energy without anion corrections   538 meV/atom
DOS at the Fermi energy   4.4 states/eV/f.u.
Offset from the most stable computed form   0.00 kJ/mol of atoms

abc: 4.8077 4.8077 4.8077
angles: 90.00 90.00 90.00
Sites, in units of the cell vectors:
Au1 0.0000 0.0000 0.5000
Au2 0.0000 0.5000 0.0000
Au3 0.5000 0.0000 0.0000
Se1 0.5000 0.5000 0.5000
S1 0.0000 0.0000 0.0000



# 6
Compound: LaTmAl2
Source: the Alexandria database
Functional: PBE
Structure: optimized geometry

Calculated volume   24.85 Å³ per atom
ΔE_f   -382 meV per atom
Total magnetic moment   0.00 Bohr magnetons per cell
DOS at the Fermi energy   2.3 states/eV/f.u.

abc: 3.6717 3.6717 7.3743
angles: 90.00 90.00 90.00
Sites, in units of the cell vectors:
La1 0.0000 0.0000 0.0000
Tm1 0.0000 0.0000 0.5000
Al1 0.5000 0.5000 0.2778
Al2 0.5000 0.5000 0.7222



> What is the formula in the second record?

BeIrBr